1.
TcHgAs2: single point on PBEsol structure, meta-GGA SCAN.

Summary:
Uncorrected energy ... -141.206 eV/cell
Space-group type ... Cmmm
Spin magnetization ... 0.01 μB per formula unit
DOS(E_F) ... 3.4 states/eV/f.u.

Cell: 4.611 4.611 3.274 Å, 90.00 90.00 101.28°
Fractional coordinates of all 4 atoms:
Tc (0.000, 0.000, 0.000)
Hg (0.500, 0.500, 0.000)
As (0.000, 0.500, 0.500)
As (0.500, 0.000, 0.500)

2.
TcHgAs2: single point on PBEsol structure, meta-GGA SCAN.

Summary:
Uncorrected energy ... -143.085 eV/cell
Space-group type ... P4mm
Spin magnetization ... 0.00 μB per formula unit
DOS(E_F) ... 2.6 states/eV/f.u.

Cell: 3.114 3.114 8.205 Å, 90.00 90.00 90.00°
Fractional coordinates of all 4 atoms:
Tc (0.000, 0.000, 0.000)
Hg (0.500, 0.500, 0.536)
As (0.000, 0.000, 0.282)
As (0.500, 0.500, 0.862)

3.
Tc4HgAs: single point on PBEsol structure, meta-GGA SCAN.

Summary:
Uncorrected energy ... -224.720 eV/cell
Space-group type ... F-43m
Spin magnetization ... 0.00 μB per formula unit
DOS(E_F) ... 4.9 states/eV/f.u.

Cell: 5.152 5.152 5.152 Å, 60.00 60.00 60.00°
Fractional coordinates of all 6 atoms:
Tc (0.125, 0.125, 0.125)
Tc (0.125, 0.125, 0.624)
Tc (0.125, 0.624, 0.125)
Tc (0.624, 0.125, 0.125)
Hg (0.750, 0.750, 0.750)
As (0.500, 0.500, 0.500)

4.
HgTe2As: single point on PBEsol structure, meta-GGA SCAN.

Summary:
E above lowest polymorph ... 59 meV/atom
E_form (uncorrected) ... 0.2 eV/f.u.
Uncorrected energy ... -162.649 eV/cell
Space-group type ... Cm
Spin magnetization ... 0.00 μB per formula unit
DOS(E_F) ... 1.3 states/eV/f.u.

Cell: 6.585 6.585 4.158 Å, 95.12 95.12 36.66°
Fractional coordinates of all 4 atoms:
Hg (0.000, 0.000, 0.000)
Te (0.475, 0.475, 0.492)
Te (0.736, 0.736, 0.877)
As (0.262, 0.262, 0.382)

5.
Hg2TeAs: single point on PBEsol structure, meta-GGA SCAN.

Summary:
E above lowest polymorph ... 271 meV/atom
E_form (uncorrected) ... 1.3 eV/f.u.
Uncorrected energy ... -192.488 eV/cell
Space-group type ... Cmmm
Spin magnetization ... 0.00 μB per formula unit
DOS(E_F) ... 2.4 states/eV/f.u.

Cell: 3.158 3.158 9.791 Å, 90.00 90.00 107.16°
Fractional coordinates of all 4 atoms:
Hg (0.000, 0.000, 0.228)
Hg (0.000, 0.000, 0.772)
Te (0.500, 0.500, 0.500)
As (0.500, 0.500, 0.000)

6.
Hg2TeAs: single point on PBEsol structure, meta-GGA SCAN.

Summary:
E above lowest polymorph ... 0 meV/atom
E_form (uncorrected) ... 0.2 eV/f.u.
Uncorrected energy ... -387.144 eV/cell
Space-group type ... I-42d
Spin magnetization ... 0.00 μB per formula unit
DOS(E_F) ... 2.2 states/eV/f.u.

Cell: 7.597 7.597 7.597 Å, 131.04 131.04 71.74°
Fractional coordinates of all 8 atoms:
Hg (0.091, 0.625, 0.966)
Hg (0.375, 0.341, 0.466)
Hg (0.659, 0.125, 0.034)
Hg (0.875, 0.909, 0.534)
Te (0.250, 0.750, 0.500)
Te (0.500, 0.500, 0.000)
As (0.000, 0.000, 0.000)
As (0.750, 0.250, 0.500)

7.
HgTe2As: single point on PBEsol structure, meta-GGA SCAN.

Summary:
E above lowest polymorph ... 87 meV/atom
E_form (uncorrected) ... 0.3 eV/f.u.
Uncorrected energy ... -162.539 eV/cell
Space-group type ... Pm
Spin magnetization ... 0.00 μB per formula unit
DOS(E_F) ... 1.6 states/eV/f.u.

Cell: 3.029 5.927 5.970 Å, 90.00 97.77 90.00°
Fractional coordinates of all 4 atoms:
Hg (0.000, 0.000, 0.000)
Te (0.088, 0.500, 0.978)
Te (0.889, 0.000, 0.488)
As (0.940, 0.500, 0.511)

8.
HgTe2As: single point on PBEsol structure, meta-GGA SCAN.

Summary:
E above lowest polymorph ... 0 meV/atom
E_form (uncorrected) ... 0.0 eV/f.u.
Uncorrected energy ... -162.887 eV/cell
Space-group type ... R-3m
Spin magnetization ... 0.00 μB per formula unit
DOS(E_F) ... 1.6 states/eV/f.u.

Cell: 7.292 7.292 7.292 Å, 33.54 33.54 33.54°
Fractional coordinates of all 4 atoms:
Hg (0.000, 0.000, 0.000)
Te (0.245, 0.245, 0.245)
Te (0.755, 0.755, 0.755)
As (0.500, 0.500, 0.500)

9.
Hg2TeAs: single point on PBEsol structure, meta-GGA SCAN.

Summary:
E above lowest polymorph ... 152 meV/atom
E_form (uncorrected) ... 0.8 eV/f.u.
Uncorrected energy ... -192.964 eV/cell
Space-group type ... P2/m
Spin magnetization ... 0.00 μB per formula unit
DOS(E_F) ... 2.3 states/eV/f.u.

Cell: 2.875 5.976 5.841 Å, 90.00 90.45 90.00°
Fractional coordinates of all 4 atoms:
Hg (0.001, 0.000, 0.254)
Hg (0.999, 0.000, 0.746)
Te (0.000, 0.500, 0.000)
As (0.000, 0.500, 0.500)

10.
HgTe2As: single point on PBEsol structure, meta-GGA SCAN.

Summary:
E above lowest polymorph ... 432 meV/atom
E_form (uncorrected) ... 1.7 eV/f.u.
Uncorrected energy ... -161.158 eV/cell
Space-group type ... F-43m
Spin magnetization ... 0.00 μB per formula unit
DOS(E_F) ... 2.7 states/eV/f.u.

Cell: 5.143 5.143 5.143 Å, 60.00 60.00 60.00°
Fractional coordinates of all 4 atoms:
Hg (0.000, 0.000, 0.000)
Te (0.500, 0.500, 0.500)
Te (0.750, 0.750, 0.750)
As (0.250, 0.250, 0.250)

11.
HgTeAs: single point on PBEsol structure, meta-GGA SCAN.

Summary:
E_form (uncorrected) ... 1.4 eV/f.u.
Uncorrected energy ... -124.215 eV/cell
Space-group type ... F-43m
Spin magnetization ... 0.01 μB per formula unit
DOS(E_F) ... 2.2 states/eV/f.u.

Cell: 4.909 4.909 4.909 Å, 60.00 60.00 60.00°
Fractional coordinates of all 3 atoms:
Hg (0.000, 0.000, 0.000)
Te (0.750, 0.750, 0.750)
As (0.500, 0.500, 0.500)

12.
HgTe2As: single point on PBEsol structure, meta-GGA SCAN.

Summary:
E above lowest polymorph ... 21 meV/atom
E_form (uncorrected) ... 0.1 eV/f.u.
Uncorrected energy ... -162.803 eV/cell
Space-group type ... P4mm
Spin magnetization ... 0.00 μB per formula unit
DOS(E_F) ... 1.4 states/eV/f.u.

Cell: 4.217 4.217 6.003 Å, 90.00 90.00 90.00°
Fractional coordinates of all 4 atoms:
Hg (0.000, 0.000, 0.000)
Te (0.000, 0.000, 0.523)
Te (0.500, 0.500, 0.066)
As (0.500, 0.500, 0.506)